(1)
The following is a DFT calculation (GGA-PBE) of an optimized crystal structure of Rb2HgAs2.

Properties
ΔH_f (0 K) ... -188.7 meV per atom
Space-group type ... P4/mbm
Total energy ... -2.50 eV/atom

```
data_Rb2HgAs2
_cell_length_a 9.7317
_cell_length_b 9.7317
_cell_length_c 4.2024
_cell_angle_alpha 90.00
_cell_angle_beta 90.00
_cell_angle_gamma 90.00
_symmetry_space_group_name_H-M 'P 1'
_symmetry_Int_Tables_number 1
loop_
_symmetry_equiv_pos_as_xyz
'x,y,z'
loop_
_atom_site_label
_atom_site_type_symbol
_atom_site_fract_x
_atom_site_fract_y
_atom_site_fract_z
Hg1 Hg 0.5000 0.5000 0.0000
As1 As 0.0832 0.5832 0.5000
Hg2 Hg 0.0000 0.0000 0.0000
Rb1 Rb 0.8030 0.6970 0.0000
Rb2 Rb 0.6970 0.1970 0.0000
As2 As 0.5832 0.9168 0.5000
As3 As 0.4168 0.0832 0.5000
As4 As 0.9168 0.4168 0.5000
Rb3 Rb 0.1970 0.3030 0.0000
Rb4 Rb 0.3030 0.8030 0.0000
```

=====

(2)
The following is a DFT calculation (GGA-PBE) of an optimized crystal structure of CaNd12Y6.

Properties
ΔH_f (0 K) ... 179.9 meV per atom
Space-group type ... R-3m
Total energy ... -4.98 eV/atom

```
data_CaNd12Y6
_cell_length_a 8.9201
_cell_length_b 8.9201
_cell_length_c 8.9201
_cell_angle_alpha 98.26
_cell_angle_beta 98.26
_cell_angle_gamma 98.26
_symmetry_space_group_name_H-M 'P 1'
_symmetry_Int_Tables_number 1
loop_
_symmetry_equiv_pos_as_xyz
'x,y,z'
loop_
_atom_site_label
_atom_site_type_symbol
_atom_site_fract_x
_atom_site_fract_y
_atom_site_fract_z
Nd1 Nd 0.6427 0.9164 0.6427
Nd2 Nd 0.3573 0.0836 0.3573
Y1 Y 0.0987 0.6566 0.0987
Y2 Y 0.9013 0.3434 0.9013
Nd3 Nd 0.7595 0.2405 0.5000
Nd4 Nd 0.0836 0.3573 0.3573
Y3 Y 0.0987 0.0987 0.6566
Nd5 Nd 0.3573 0.3573 0.0836
Nd6 Nd 0.5000 0.2405 0.7595
Y4 Y 0.9013 0.9013 0.3434
Nd7 Nd 0.2405 0.7595 0.5000
Nd8 Nd 0.5000 0.7595 0.2405
Ca1 Ca 0.0000 0.0000 0.0000
Nd9 Nd 0.6427 0.6427 0.9164
Nd10 Nd 0.9164 0.6427 0.6427
Y5 Y 0.6566 0.0987 0.0987
Y6 Y 0.3434 0.9013 0.9013
Nd11 Nd 0.7595 0.5000 0.2405
Nd12 Nd 0.2405 0.5000 0.7595
```

=====

(3)
The following is a DFT calculation (GGA-PBE) of an optimized crystal structure of In2NiAs.

Properties
ΔH_f (0 K) ... 132.2 meV per atom
Space-group type ... P4/mmm
Total energy ... -3.84 eV/atom

```
data_In2NiAs
_cell_length_a 3.0873
_cell_length_b 3.0875
_cell_length_c 8.0598
_cell_angle_alpha 90.00
_cell_angle_beta 90.00
_cell_angle_gamma 90.00
_symmetry_space_group_name_H-M 'P 1'
_symmetry_Int_Tables_number 1
loop_
_symmetry_equiv_pos_as_xyz
'x,y,z'
loop_
_atom_site_label
_atom_site_type_symbol
_atom_site_fract_x
_atom_site_fract_y
_atom_site_fract_z
In1 In 0.0000 0.0000 0.0429
Ni1 Ni 0.5000 0.5000 0.2500
As1 As 0.5000 0.5000 0.7500
In2 In 0.0000 0.0000 0.4571
```

=====

(4)
The following is a DFT calculation (GGA-PBE) of an optimized crystal structure of TmHCl.

Properties
Space-group type ... P2_1/m
Total energy ... -4.34 eV/atom

```
data_TmHCl
_cell_length_a 5.0667
_cell_length_b 3.6506
_cell_length_c 5.6589
_cell_angle_alpha 90.00
_cell_angle_beta 89.74
_cell_angle_gamma 90.00
_symmetry_space_group_name_H-M 'P 1'
_symmetry_Int_Tables_number 1
loop_
_symmetry_equiv_pos_as_xyz
'x,y,z'
loop_
_atom_site_label
_atom_site_type_symbol
_atom_site_fract_x
_atom_site_fract_y
_atom_site_fract_z
H1 H 0.4558 0.7500 0.5947
H2 H 0.5442 0.2500 0.4053
Cl1 Cl 0.2451 0.7500 0.0707
Tm1 Tm 0.7370 0.7500 0.3063
Cl2 Cl 0.7549 0.2500 0.9293
Tm2 Tm 0.2630 0.2500 0.6937
```